NaCaYWO6 | GGA+U | relaxed Values from VASP.

The structure in Quantum ESPRESSO input format:
```
&SYSTEM
  ibrav = 0, nat = 10, ntyp = 5
/
ATOMIC_SPECIES
Na 22.99 Na.upf
Ca 40.08 Ca.upf
Y 88.91 Y.upf
W 183.84 W.upf
O 16.00 O.upf
CELL_PARAMETERS angstrom
0.000 4.152 4.152
4.152 0.000 4.152
4.152 4.152 0.000
ATOMIC_POSITIONS angstrom
Na 0.000 0.000 0.000
Ca 4.152 4.152 4.152
Y 2.076 2.076 2.076
W 6.228 6.228 6.228
O 6.228 6.228 4.286
O 6.228 4.286 6.228
O 8.170 6.228 6.228
O 4.286 6.228 6.228
O 6.228 8.170 6.228
O 6.228 6.228 8.170
```

Space-group type: F-43m (216)
Calculated volume, A^3/atom: 14.32
Total energy, eV/cell: -72.187
N(E_F), states/eV per cell: 0.0